Rb2CuAgI6 | PBE | optimized geometry

Cell and atoms, written as POSCAR:
```
Rb2CuAgI6
1.0
-6.718 1.741 4.197
-0.484 -7.724 2.431
-0.150 -1.644 8.276
Ag I Rb Cu
1 6 2 1
Cartesian
0.000 0.000 0.000
-5.688 -5.392 8.805
-5.161 -2.493 11.989
-5.382 -5.988 13.090
-2.191 -5.134 2.915
-1.664 -2.235 6.099
-1.970 -1.639 1.814
-2.116 -6.179 7.012
-5.236 -1.448 7.892
-3.601 -2.991 3.314
```

Computed properties:
* space-group type: I4/mmm, No. 139
* E_form (uncorrected): -6.48 eV/f.u.



Sc4TeSe | PBE | optimized geometry

Cell and atoms, written as POSCAR:
```
Sc4TeSe
1.0
0.000 4.153 4.153
4.153 0.000 4.153
4.153 4.153 0.000
Sc Se Te
4 1 1
Cartesian
3.113 3.113 3.113
5.194 3.113 5.194
5.194 5.194 3.113
3.113 5.194 5.194
6.230 6.230 6.230
0.000 0.000 0.000
```

Computed properties:
* space-group type: F-43m, No. 216
* E_form (uncorrected): -0.73 eV/f.u.
* energy above the lowest structure with this stoichiometry: 741 meV per atom



Pm3PrNd3Se8 | PBE | optimized geometry

Cell and atoms, written as POSCAR:
```
Pm3PrNd3Se8
1.0
8.403 0.000 0.000
-4.201 7.277 -0.025
0.000 -4.828 6.887
Pr Se Pm Nd
1 8 3 3
Cartesian
0.000 -2.414 3.444
4.201 2.374 1.688
2.151 -1.178 1.700
0.000 2.432 1.728
6.252 -1.178 1.700
4.201 0.018 5.134
-2.050 3.627 5.162
2.051 3.627 5.162
0.000 0.076 5.174
2.101 1.225 3.431
-2.101 1.225 3.431
4.201 -2.414 3.444
0.000 0.000 0.000
2.101 3.639 -0.012
-2.101 3.638 -0.012
```

Computed properties:
* space-group type: R-3m, No. 166
* E_form (uncorrected): -28.10 eV/f.u.



Li7Ga6Hg16 | PBE | optimized geometry

Cell and atoms, written as POSCAR:
```
Li7Ga6Hg16
1.0
-4.067 -4.817 7.231
5.104 -2.072 7.855
-1.900 4.470 8.273
Ga Hg Li
6 16 7
Cartesian
1.369 0.578 13.883
0.296 -4.024 13.367
-3.174 -0.782 13.574
2.311 -1.637 9.785
-1.159 1.604 9.992
-2.233 -2.997 9.476
-2.450 -3.417 12.409
1.587 0.998 10.950
-0.109 -0.306 2.953
0.185 -4.323 16.317
1.256 0.267 16.832
-0.319 -0.893 8.619
-0.545 -1.527 14.740
-1.315 1.450 12.955
-2.120 -2.687 6.527
0.451 -3.869 10.404
2.356 -1.979 12.735
2.413 -1.330 6.836
-3.277 -1.089 16.523
-1.048 1.904 7.043
-3.220 -0.441 10.624
-0.755 -2.113 20.406
-0.950 2.235 4.137
1.602 1.199 8.064
-0.432 -1.210 11.680
0.518 -3.445 7.543
2.552 -1.036 3.927
-2.984 -0.174 7.752
-2.034 -2.409 3.616
```

Computed properties:
* space-group type: Fm-3m, No. 225
* formation energy: -159 meV/atom



Rb5InP2 | PBE | optimized geometry

Cell and atoms, written as POSCAR:
```
Rb5InP2
1.0
-2.013 4.741 2.865
-4.698 -0.464 3.529
7.052 -1.845 14.069
Rb P In
5 2 1
Cartesian
-3.407 2.476 5.634
0.172 1.854 15.240
0.169 0.579 5.223
3.748 -0.043 14.829
0.170 1.216 10.231
5.610 -1.337 12.216
-5.269 3.770 8.246
0.000 0.000 0.000
```

Computed properties:
* space-group type: R-3m, No. 166
* formation energy: -153 meV/atom



YRe | PBE | optimized geometry

Cell and atoms, written as POSCAR:
```
YRe
1.0
-5.920 0.883 0.296
-0.519 -1.545 -5.767
-0.732 -5.413 1.516
Re Y
4 4
Cartesian
-5.552 -0.571 -4.717
-2.841 -3.372 -2.813
-4.330 -2.703 -1.142
-0.888 -0.091 -0.754
-4.261 0.137 -1.566
-5.564 -3.241 -3.658
-1.607 -2.834 -0.297
-2.178 -0.799 -3.905
```

Computed properties:
* space-group type: P4_2/mnm, No. 136
* formation energy: 949 meV/atom



Results for calculated density: 4.50 4.48 6.48 9.78 2.15 8.97 (in Mg/m³, following the order of the records).